This record from Alexandria via LeMat-Bulk describes an optimized crystal structure of Pr3Er. The functional is PBEsol.

relative energy among the computed polymorphs: 2.17 kJ/mol of atoms
electronic total energy: -5.091 eV/atom
calculated formation energy: 0.029 eV per atom

a = 7.2163 Å, b = 7.2163 Å, c = 5.8142 Å
α = 90.00°, β = 90.00°, γ = 120.00°
Space group P6_3/mmc (No. 194)
Inequivalent atoms, fractional coordinates:
1 Pr 0.1676 0.3352 0.2500 (multiplicity 6)
2 Er 0.3333 0.6667 0.7500 (multiplicity 2)

***

This record from Alexandria via LeMat-Bulk describes an optimized crystal structure of CsSr2Ca. The functional is PBEsol.

electronic total energy: -1.518 eV/atom
calculated formation energy: 0.171 eV per atom

a = 9.5655 Å, b = 9.5655 Å, c = 9.5655 Å
α = 90.00°, β = 90.00°, γ = 90.00°
Space group Fm-3m (No. 225)
Inequivalent atoms, fractional coordinates:
1 Cs 0.0000 0.0000 0.0000 (multiplicity 4)
2 Sr 0.2500 0.2500 0.2500 (multiplicity 8)
3 Ca 0.0000 0.0000 0.5000 (multiplicity 4)

***

This record from Alexandria via LeMat-Bulk describes an optimized crystal structure of TlZn2Ru. The functional is PBEsol.

relative energy among the computed polymorphs: 12.70 kJ/mol of atoms
electronic total energy: -3.673 eV/atom
calculated formation energy: 0.319 eV per atom

a = 2.9501 Å, b = 2.9501 Å, c = 27.2737 Å
α = 90.00°, β = 90.00°, γ = 120.00°
Space group R-3m (No. 166, hexagonal axes)
Inequivalent atoms, fractional coordinates:
1 Tl 0.0000 0.0000 0.0000 (multiplicity 3)
2 Zn 0.0000 0.0000 0.2372 (multiplicity 6)
3 Ru 0.0000 0.0000 0.5000 (multiplicity 3)